Entry 1:
Entry from Alexandria via LeMat-Bulk: CuTe2C at its PBEsol-relaxed geometry (meta-GGA SCAN).

abc: 4.0792 4.0792 6.9943
angles: 73.05 73.05 60.00
Last column: nearest neighbours and their distance in Å.
Element x y z (fractional)
C 0.0000 0.0000 0.0000  2 Te 1.95
Te 0.9014 0.9014 0.2957  1 C 1.95
Te 0.0986 0.0986 0.7043  1 C 1.95
Cu 0.5000 0.5000 0.5000  6 Te 2.71

Properties
Formation energy (no corrections) = 1.0554 eV/atom
Space group = No. 166

Entry 2:
Entry from Alexandria via LeMat-Bulk: Ti3CuC at its PBEsol-relaxed geometry (meta-GGA SCAN).

abc: 4.4121 4.4121 4.4121
angles: 90.00 90.00 90.00
Last column: nearest neighbours and their distance in Å.
Element x y z (fractional)
C 0.5000 0.5000 0.5000  12 Ti 3.12
Cu 0.0000 0.0000 0.0000  6 Ti 2.21
Ti 0.0000 0.5000 0.0000  2 Cu 2.21
Ti 0.0000 0.0000 0.5000  2 Cu 2.21
Ti 0.5000 0.0000 0.0000  2 Cu 2.21

Properties
Space group = No. 221
Excess energy over the best structure of this formula in the dataset = 10.19 eV/f.u.
Calculated formation energy = 1.59 eV/atom

Entry 3:
Entry from Alexandria via LeMat-Bulk: Ti3CuC at its PBEsol-relaxed geometry (meta-GGA SCAN).

abc: 4.0946 4.0946 4.0946
angles: 90.00 90.00 90.00
Last column: nearest neighbours and their distance in Å.
Element x y z (fractional)
C 0.0000 0.0000 0.0000  6 Ti 2.05
Cu 0.5000 0.5000 0.5000  12 Ti 2.90
Ti 0.0000 0.5000 0.0000  2 C 2.05
Ti 0.0000 0.0000 0.5000  2 C 2.05
Ti 0.5000 0.0000 0.0000  2 C 2.05

Properties
Space group = No. 221
Excess energy over the best structure of this formula in the dataset = 0.00 eV/f.u.
Calculated formation energy = -0.45 eV/atom

Entry 4:
Entry from Alexandria via LeMat-Bulk: Tl2CuC at its PBEsol-relaxed geometry (meta-GGA SCAN).

abc: 4.6046 4.6046 4.6046
angles: 60.00 60.00 60.00
Last column: nearest neighbours and their distance in Å.
Element x y z (fractional)
Tl 0.2500 0.2500 0.2500  4 C 2.82, 4 Cu 2.82
Tl 0.7500 0.7500 0.7500  4 Cu 2.82, 4 C 2.82
C 0.0000 0.0000 0.0000  8 Tl 2.82
Cu 0.5000 0.5000 0.5000  8 Tl 2.82

Properties
Space group = No. 225
Calculated formation energy = 1.53 eV/atom

no.,spin magnetization (μB/cell),V (Å³/atom)
1,0.00,23.7
2,0.03,17.2
3,0.00,13.7
4,0.00,17.3